1.
# RbScTi

A geometry-optimized RbScTi structure (GGA-PBE, Alexandria).

Calculated values
DFT formation energy = 0.314 eV per atom
Density of states at the Fermi level = 5.36 states/eV per cell
E above lowest polymorph = 0.0 kJ/mol of atoms

a = 16.4625 Å, b = 3.5957 Å, c = 3.5957 Å
α = 90.00°, β = 102.74°, γ = 77.26°
Fractional positions:
Rb (0.6410, 0.1128, 0.8872)
Sc (0.8544, 0.3970, 0.6030)
Ti (0.9636, 0.7867, 0.2133)
Ti (0.0364, 0.2133, 0.7867)
Rb (0.3590, 0.8872, 0.1128)
Sc (0.1456, 0.6030, 0.3970)

2.
# RbScTi

A geometry-optimized RbScTi structure (GGA-PBE, Alexandria).

Calculated values
DFT formation energy = 0.395 eV per atom
Density of states at the Fermi level = 10.17 states/eV per cell
E above lowest polymorph = 7.8 kJ/mol of atoms

a = 3.3458 Å, b = 4.6834 Å, c = 13.7582 Å
α = 90.00°, β = 88.81°, γ = 90.00°
Fractional positions:
Rb (0.0284, 0.7500, 0.6549)
Rb (0.9716, 0.2500, 0.3451)
Sc (0.5106, 0.2500, 0.8715)
Sc (0.4894, 0.7500, 0.1285)
Ti (0.9957, 0.2500, 0.0458)
Ti (0.0043, 0.7500, 0.9542)

3.
# RbScTi

A geometry-optimized RbScTi structure (GGA-PBE, Alexandria).

Calculated values
DFT formation energy = 1.158 eV per atom
Density of states at the Fermi level = 9.84 states/eV per cell
E above lowest polymorph = 81.4 kJ/mol of atoms

a = 5.8343 Å, b = 5.8343 Å, c = 6.0166 Å
α = 90.00°, β = 90.00°, γ = 120.00°
Fractional positions:
Ti (0.3333, 0.6667, 0.4173)
Rb (0.0000, 0.0000, 0.9153)
Sc (0.3333, 0.6667, 0.9174)
Ti (0.6667, 0.3333, 0.9173)
Sc (0.6667, 0.3333, 0.4174)
Rb (0.0000, 0.0000, 0.4153)

4.
# Rb2YScTi

A geometry-optimized Rb2YScTi structure (GGA-PBE, Alexandria).

Calculated values
DFT formation energy = 1.438 eV per atom
Density of states at the Fermi level = 9.14 states/eV per cell

a = 6.2608 Å, b = 5.5576 Å, c = 6.2608 Å
α = 90.00°, β = 90.00°, γ = 90.00°
Fractional positions:
Y (0.0000, 0.5000, 0.0000)
Rb (0.0000, 0.0000, 0.5000)
Sc (0.5000, 0.5000, 0.5000)
Rb (0.5000, 0.0000, 0.0000)
Ti (0.0000, 0.0000, 0.0000)

5.
# RbScTl3

A geometry-optimized RbScTl3 structure (GGA-PBE, Alexandria).

Calculated values
DFT formation energy = 0.095 eV per atom
Density of states at the Fermi level = 5.60 states/eV per cell
E above lowest polymorph = 0.0 kJ/mol of atoms

a = 5.7841 Å, b = 5.7841 Å, c = 5.7841 Å
α = 90.00°, β = 90.00°, γ = 90.00°
Fractional positions:
Tl (0.0000, 0.0000, 0.5000)
Tl (0.5000, 0.0000, 0.0000)
Tl (0.0000, 0.5000, 0.0000)
Rb (0.5000, 0.5000, 0.5000)
Sc (0.0000, 0.0000, 0.0000)

6.
# RbScTl2

A geometry-optimized RbScTl2 structure (GGA-PBE, Alexandria).

Calculated values
DFT formation energy = -0.115 eV per atom
Density of states at the Fermi level = 2.82 states/eV per cell
E above lowest polymorph = 0.0 kJ/mol of atoms

a = 3.7478 Å, b = 3.7478 Å, c = 8.8778 Å
α = 90.00°, β = 90.00°, γ = 90.00°
Fractional positions:
Sc (0.5000, 0.5000, 0.0000)
Rb (0.5000, 0.5000, 0.5000)
Tl (0.0000, 0.0000, 0.8090)
Tl (0.0000, 0.0000, 0.1910)

7.
# RbScTl4

A geometry-optimized RbScTl4 structure (GGA-PBE, Alexandria).

Calculated values
DFT formation energy = -0.071 eV per atom
Density of states at the Fermi level = 1.96 states/eV per cell

a = 3.9060 Å, b = 3.9140 Å, c = 12.6355 Å
α = 85.35°, β = 85.31°, γ = 82.91°
Fractional positions:
Tl (0.5358, 0.0362, 0.6334)
Tl (0.9450, 0.4439, 0.2181)
Tl (0.4642, 0.9638, 0.3666)
Rb (0.5000, 0.0000, 0.0000)
Sc (0.0000, 0.5000, 0.5000)
Tl (0.0550, 0.5561, 0.7819)

8.
# RbScTl3

A geometry-optimized RbScTl3 structure (GGA-PBE, Alexandria).

Calculated values
DFT formation energy = 1.028 eV per atom
Density of states at the Fermi level = 6.78 states/eV per cell
E above lowest polymorph = 90.0 kJ/mol of atoms

a = 6.0586 Å, b = 6.0586 Å, c = 6.0586 Å
α = 90.00°, β = 90.00°, γ = 90.00°
Fractional positions:
Tl (0.0000, 0.0000, 0.5000)
Sc (0.5000, 0.5000, 0.5000)
Tl (0.0000, 0.5000, 0.0000)
Rb (0.0000, 0.0000, 0.0000)
Tl (0.5000, 0.0000, 0.0000)

9.
# Rb2ScTl

A geometry-optimized Rb2ScTl structure (GGA-PBE, Alexandria).

Calculated values
DFT formation energy = 0.452 eV per atom
Density of states at the Fermi level = 8.02 states/eV per cell
E above lowest polymorph = 0.0 kJ/mol of atoms

a = 13.4954 Å, b = 13.4954 Å, c = 9.9454 Å
α = 47.28°, β = 47.28°, γ = 90.00°
Fractional positions:
Tl (0.7500, 0.2500, 0.5000)
Sc (0.2500, 0.7500, 0.5000)
Sc (0.5000, 0.5000, 0.0000)
Rb (0.3750, 0.2238, 0.7500)
Rb (0.7762, 0.1250, 0.2500)
Rb (0.8750, 0.0262, 0.7500)
Tl (0.0000, 0.0000, 0.0000)
Rb (0.9738, 0.6250, 0.2500)

10.
# Rb3ScTl

A geometry-optimized Rb3ScTl structure (GGA-PBE, Alexandria).

Calculated values
DFT formation energy = 0.712 eV per atom
Density of states at the Fermi level = 31.41 states/eV per cell
E above lowest polymorph = 0.0 kJ/mol of atoms

a = 6.9704 Å, b = 6.9704 Å, c = 6.9704 Å
α = 90.00°, β = 90.00°, γ = 90.00°
Fractional positions:
Rb (0.5000, 0.0000, 0.0000)
Sc (0.5000, 0.5000, 0.5000)
Rb (0.0000, 0.5000, 0.0000)
Rb (0.0000, 0.0000, 0.5000)
Tl (0.0000, 0.0000, 0.0000)

11.
# RbSc2Tl

A geometry-optimized RbSc2Tl structure (GGA-PBE, Alexandria).

Calculated values
DFT formation energy = 0.558 eV per atom
Density of states at the Fermi level = 2.17 states/eV per cell
E above lowest polymorph = 23.0 kJ/mol of atoms

a = 13.0364 Å, b = 13.0364 Å, c = 13.0364 Å
α = 15.19°, β = 15.19°, γ = 15.19°
Fractional positions:
Tl (0.0000, 0.0000, 0.0000)
Rb (0.5000, 0.5000, 0.5000)
Sc (0.0775, 0.0775, 0.0775)
Sc (0.9225, 0.9225, 0.9225)

12.
# RbSc2Tl

A geometry-optimized RbSc2Tl structure (GGA-PBE, Alexandria).

Calculated values
DFT formation energy = 0.319 eV per atom
Density of states at the Fermi level = 8.47 states/eV per cell
E above lowest polymorph = 0.0 kJ/mol of atoms

a = 11.9250 Å, b = 11.9250 Å, c = 11.9250 Å
α = 16.78°, β = 16.78°, γ = 16.78°
Fractional positions:
Sc (0.0994, 0.0994, 0.0994)
Rb (0.0000, 0.0000, 0.0000)
Tl (0.5000, 0.5000, 0.5000)
Sc (0.9006, 0.9006, 0.9006)

- Look up the density of states at the Fermi level of the eleventh one.
  2.17 states/eV per cell